Here is crystalline MgCu2Si2 at its relaxed geometry from Alexandria. Energies are from PBE.

a b c (Å): 3.877 3.877 10.137
angles (deg): 90.00 90.00 90.00
Space group I4/mmm (No. 139)
One atom of each set of equivalent atoms:
1 Mg 0.000 0.000 0.000
2 Cu 0.000 0.500 0.250
3 Si 0.000 0.000 0.387

Properties
* calculated volume: 15.24 Å³ per atom
* final energy: -4.21 eV per atom
* E above lowest polymorph: 0.000 eV per atom